Record 1
{
  "formula": "LaCo2Si",
  "functional": "PBE",
  "state": "optimized geometry",
  "final_energy_ev_per_atom": -6.08,
  "dos_at_fermi_per_ev_atom": 0.659,
  "sg": "P4/mmm, No. 123",
  "cell": [[-1.777, 1.322, 3.781], [-0.731, -4.173, 1.116], [2.967, -0.135, 1.441]],
  "species": ["Co", "Co", "La", "Si"],
  "fractional_positions": [[0.000, 0.000, 0.000], [0.500, 0.500, 0.000], [0.500, 0.000, 0.500], [0.000, 0.500, 0.500]]
}

Record 2
{
  "formula": "La2Co3Si5",
  "functional": "PBE",
  "state": "optimized geometry",
  "final_energy_ev_per_atom": -6.53,
  "dos_at_fermi_per_ev_atom": 0.687,
  "sg": "C2/c, No. 15",
  "cell": [[0.528, -1.631, 5.461], [-0.791, -8.033, 0.683], [7.805, -0.398, 2.132]],
  "species": ["La", "La", "La", "La", "Co", "Co", "Co", "Co", "Co", "Co", "Si", "Si", "Si", "Si", "Si", "Si", "Si", "Si", "Si", "Si"],
  "fractional_positions": [[0.262, 0.868, 0.607], [0.238, 0.393, 0.132], [0.738, 0.132, 0.393], [0.762, 0.607, 0.868], [0.111, 0.252, 0.523], [0.389, 0.477, 0.748], [0.889, 0.748, 0.477], [0.611, 0.523, 0.252], [0.250, 0.999, 0.001], [0.750, 0.001, 0.999], [0.354, 0.042, 0.251], [0.146, 0.749, 0.958], [0.646, 0.958, 0.749], [0.854, 0.251, 0.042], [0.250, 0.236, 0.764], [0.750, 0.764, 0.236], [0.250, 0.499, 0.501], [0.750, 0.501, 0.499], [0.250, 0.765, 0.235], [0.750, 0.235, 0.765]]
}

Record 3
{
  "formula": "LaCoSi2",
  "functional": "PBE",
  "state": "optimized geometry",
  "final_energy_ev_per_atom": -6.07,
  "dos_at_fermi_per_ev_atom": 0.551,
  "sg": "Pmm2, No. 25",
  "cell": [[3.826, 0.000, 0.000], [0.000, 3.443, -0.032], [0.000, 0.059, 5.675]],
  "species": ["Co", "La", "Si", "Si"],
  "fractional_positions": [[0.000, 0.624, 0.323], [0.500, 0.625, 0.795], [0.000, 0.125, 0.064], [0.500, 0.125, 0.319]]
}

Record 4
{
  "formula": "La2CoSi",
  "functional": "PBE",
  "state": "optimized geometry",
  "final_energy_ev_per_atom": -5.73,
  "dos_at_fermi_per_ev_atom": 1.550,
  "sg": "P4mm, No. 99",
  "cell": [[3.200, 0.000, 0.000], [0.000, 3.200, 0.000], [0.000, 0.000, 8.818]],
  "species": ["Co", "La", "La", "Si"],
  "fractional_positions": [[0.500, 0.500, 0.680], [0.000, 0.000, 0.920], [0.500, 0.500, 0.323], [0.000, 0.000, 0.576]]
}

Record 5
{
  "formula": "La2CoSi",
  "functional": "PBE",
  "state": "optimized geometry",
  "final_energy_ev_per_atom": -5.79,
  "dos_at_fermi_per_ev_atom": 0.519,
  "sg": "P2/m, No. 10",
  "cell": [[3.604, 0.000, 0.000], [0.000, 3.611, 0.103], [0.000, 3.407, 7.416]],
  "species": ["Co", "La", "La", "Si"],
  "fractional_positions": [[0.500, 0.750, 0.750], [0.000, 0.013, 0.989], [0.000, 0.487, 0.511], [0.500, 0.250, 0.250]]
}

Record 6
{
  "formula": "La2Co5Si4",
  "functional": "PBE",
  "state": "optimized geometry",
  "final_energy_ev_per_atom": -6.72,
  "dos_at_fermi_per_ev_atom": 0.752,
  "sg": "Fmmm, No. 69",
  "cell": [[4.896, 0.000, 2.337], [2.448, 4.774, 1.169], [-0.405, 0.000, 7.145]],
  "species": ["La", "La", "Co", "Co", "Co", "Co", "Co", "Si", "Si", "Si", "Si"],
  "fractional_positions": [[0.866, 0.000, 0.268], [0.134, 0.000, 0.732], [0.500, 0.000, 0.000], [0.000, 0.500, 0.000], [0.500, 0.500, 0.000], [0.250, 0.500, 0.500], [0.750, 0.500, 0.500], [0.467, 0.322, 0.744], [0.533, 0.678, 0.256], [0.211, 0.322, 0.256], [0.789, 0.678, 0.744]]
}

Record 7
{
  "formula": "LaCo2Si",
  "functional": "PBE",
  "state": "optimized geometry",
  "final_energy_ev_per_atom": -6.35,
  "dos_at_fermi_per_ev_atom": 0.860,
  "sg": "I4_1/amd, No. 141",
  "cell": [[-2.153, -3.535, 1.909], [2.758, 0.274, 3.619], [-4.660, 3.235, 6.178]],
  "species": ["Si", "Si", "Co", "Co", "Co", "Co", "La", "La"],
  "fractional_positions": [[0.500, 0.500, 0.000], [0.250, 0.750, 0.500], [0.375, 0.125, 0.250], [0.375, 0.625, 0.250], [0.375, 0.625, 0.750], [0.875, 0.625, 0.750], [0.000, 0.000, 0.000], [0.750, 0.250, 0.500]]
}

Record 8
{
  "formula": "LaCo2Si",
  "functional": "PBE",
  "state": "optimized geometry",
  "final_energy_ev_per_atom": -6.19,
  "dos_at_fermi_per_ev_atom": 1.152,
  "sg": "P4mm, No. 99",
  "cell": [[-1.692, 2.554, 0.353], [-2.223, -1.659, 1.347], [2.903, 1.078, 6.120]],
  "species": ["Co", "Co", "La", "Si"],
  "fractional_positions": [[0.000, 0.000, 0.997], [0.500, 0.500, 0.178], [0.000, 0.000, 0.493], [0.500, 0.500, 0.832]]
}